The following is a DFT calculation (PBE) of a relaxed structure of Mn2Nb2AlCo5.

Cell lengths 3.652, 8.362, 8.362 Å; angles 90.00, 90.00, 90.00 degrees
Fractional positions:
Mn 0.000 0.126 0.626
Mn 0.000 0.874 0.374
Mn 0.000 0.626 0.874
Mn 0.000 0.374 0.126
Nb 0.000 0.674 0.174
Nb 0.000 0.326 0.826
Nb 0.000 0.174 0.326
Nb 0.000 0.826 0.674
Al 0.000 0.000 0.000
Al 0.000 0.500 0.500
Co 0.500 0.206 0.067
Co 0.500 0.794 0.933
Co 0.500 0.067 0.794
Co 0.500 0.706 0.433
Co 0.500 0.933 0.206
Co 0.500 0.294 0.567
Co 0.500 0.567 0.706
Co 0.500 0.433 0.294
Co 0.500 0.500 0.000
Co 0.500 0.000 0.500

Computed properties:
Its formation energy is -0.048 eV/atom.



The following is a DFT calculation (PBE) of a relaxed structure of MgTe2Os.

Cell lengths 6.927, 6.927, 6.927 Å; angles 153.14, 142.53, 46.71 degrees
Fractional positions:
Mg 0.432 0.432 0.000
Os 0.229 0.729 0.500
Te 0.058 0.058 0.000
Te 0.781 0.281 0.500

Computed properties:
The calculation puts the raw formation energy at 0.223 eV/atom.



The following is a DFT calculation (PBE) of a relaxed structure of TcRhN.

Cell lengths 2.787, 2.787, 5.420 Å; angles 90.00, 90.00, 120.00 degrees
Fractional positions:
Tc 0.667 0.333 0.449
Rh 0.333 0.667 0.056
N 0.333 0.667 0.679

Computed properties:
The calculation puts the raw formation energy at -0.004 eV/atom. Its energy above the lowest structure with this stoichiometry is 0.0 meV per atom.



The following is a DFT calculation (PBE) of a relaxed structure of YMn2Mo.

Cell lengths 4.435, 4.502, 3.121 Å; angles 90.00, 90.00, 90.00 degrees
Fractional positions:
Mn 0.000 0.000 0.000
Mn 0.500 0.500 0.000
Mo 0.500 0.000 0.500
Y 0.000 0.500 0.500

Computed properties:
Its formation energy is 0.441 eV/atom. Its energy above the lowest structure with this stoichiometry is 236.8 meV per atom.



The following is a DFT calculation (PBE) of a relaxed structure of Ta2InW.

Cell lengths 5.383, 5.383, 5.383 Å; angles 142.19, 128.92, 65.27 degrees
Fractional positions:
In 0.250 0.750 0.500
Ta 0.983 0.983 0.000
Ta 0.517 0.517 0.000
W 0.750 0.250 0.500

Computed properties:
Its formation energy is 0.172 eV/atom.



The following is a DFT calculation (PBE) of a relaxed structure of DyHfSe4.

Cell lengths 6.773, 6.852, 6.697 Å; angles 90.00, 92.37, 90.00 degrees
Fractional positions:
Dy 0.000 0.000 0.000
Dy 0.500 0.500 0.000
Hf 0.500 0.000 0.500
Hf 0.000 0.500 0.500
Se 0.888 0.630 0.142
Se 0.612 0.130 0.858
Se 0.333 0.343 0.370
Se 0.167 0.843 0.630
Se 0.112 0.370 0.858
Se 0.388 0.870 0.142
Se 0.667 0.657 0.630
Se 0.833 0.157 0.370

Computed properties:
The calculation puts the raw formation energy at -1.196 eV/atom.



no.,spin magnetization (μB per formula unit)
1,4.12
2,0.00
3,0.00
4,0.75
5,0.00
6,0.00